The following is a PBE calculation of crystalline HoSc6 at its relaxed geometry, from Alexandria.

Cell lengths 7.2681, 7.2681, 7.2681 Å; angles 90.00, 90.00, 90.00 degrees
Last column: nearest neighbours and their distance in Å.
Space group Im-3m (No. 229)
Unique sites:
Ho1 0.0000 0.0000 0.0000 [2 per cell]  24 Sc 4.06
Sc1 0.0000 0.2500 0.5000 [12 per cell]  4 Sc 2.57

Computed properties:
For the energy, the calculation gives -4.764 eV per atom. As for the excess energy over the best structure of this formula in the dataset: 1.074 eV/atom. Its energy relative to the elements is 889.8 kJ/mol of formula units.


The following is a PBE calculation of crystalline HoSc at its relaxed geometry, from Alexandria.

Cell lengths 3.4708, 5.3843, 5.9671 Å; angles 90.00, 90.00, 90.00 degrees
Last column: nearest neighbours and their distance in Å.
Space group Pmmn (No. 59, origin choice 2)
Unique sites:
Ho1 0.2500 0.2500 0.0872 [2 per cell]  6 Sc 3.34-3.48, 6 Ho 3.37-3.47
Sc1 0.2500 0.7500 0.4177 [2 per cell]  6 Ho 3.34-3.48, 6 Sc 3.35-3.47

Computed properties:
For the energy, the calculation gives -5.424 eV per atom. As for the excess energy over the best structure of this formula in the dataset: 0.000 eV/atom. Its energy relative to the elements is 5.9 kJ/mol of formula units.


The following is a PBE calculation of crystalline Ho2Sc3 at its relaxed geometry, from Alexandria.

Cell lengths 11.1022, 29.6233, 3.2820 Å; angles 90.00, 90.00, 90.00 degrees
Last column: nearest neighbours and their distance in Å.
Space group Fdd2 (No. 43)
Unique sites:
Ho1 0.0205 0.3013 0.0000 [16 per cell]  6 Sc 3.19-3.53, 4 Ho 3.28-3.48
Sc1 0.0000 0.0000 0.3313 [8 per cell]  6 Ho 3.27-3.53, 6 Sc 3.28-3.46
Sc2 0.0359 0.4016 0.3854 [16 per cell]  3 Ho 3.19-3.29, 6 Sc 3.28-3.46

Computed properties:
For the energy, the calculation gives -5.519 eV per atom. As for the excess energy over the best structure of this formula in the dataset: 0.000 eV/atom. Its energy relative to the elements is 53.5 kJ/mol of formula units.


The following is a PBE calculation of crystalline HoSc5 at its relaxed geometry, from Alexandria.

Cell lengths 5.2847, 16.3861, 3.5596 Å; angles 90.00, 90.00, 90.00 degrees
Last column: nearest neighbours and their distance in Å.
Space group Cmmm (No. 65)
Unique sites:
Ho1 0.0000 0.0000 0.0000 [2 per cell]  8 Sc 3.19-3.48, 2 Ho 3.56
Sc1 0.0000 0.1826 0.5000 [4 per cell]  10 Sc 3.20-3.56, 2 Ho 3.48
Sc2 0.0000 0.3450 0.0000 [4 per cell]  8 Sc 3.10-3.22
Sc3 0.0000 0.5000 0.5000 [2 per cell]  4 Sc 3.10, 4 Ho 3.19

Computed properties:
For the energy, the calculation gives -5.945 eV per atom. As for the excess energy over the best structure of this formula in the dataset: 0.083 eV/atom. Its energy relative to the elements is 54.3 kJ/mol of formula units.


The following is a PBE calculation of crystalline HoSc5 at its relaxed geometry, from Alexandria.

Cell lengths 11.9739, 3.3649, 7.8110 Å; angles 90.00, 102.88, 90.00 degrees
Last column: nearest neighbours and their distance in Å.
Space group Cm (No. 8)
Unique sites:
Ho1 0.0000 0.0000 0.0000 [2 per cell]  10 Sc 3.25-3.42, 2 Ho 3.36
Sc1 0.0532 0.0000 0.6047 [2 per cell]  11 Sc 3.22-3.36, 1 Ho 3.29
Sc2 0.1663 0.5000 0.3357 [2 per cell]  10 Sc 3.20-3.36, 2 Ho 3.37
Sc3 0.2223 0.5000 0.9358 [2 per cell]  9 Sc 3.22-3.39, 3 Ho 3.25-3.28
Sc4 0.3291 0.0000 0.6583 [2 per cell]  10 Sc 3.16-3.36, 2 Ho 3.42
Sc5 0.3832 0.0000 0.2801 [2 per cell]  10 Sc 3.16-3.39, 2 Ho 3.31

Computed properties:
For the energy, the calculation gives -6.028 eV per atom. As for the excess energy over the best structure of this formula in the dataset: 0.000 eV/atom. Its energy relative to the elements is 6.5 kJ/mol of formula units.


The following is a PBE calculation of crystalline HoSc at its relaxed geometry, from Alexandria.

Cell lengths 3.4343, 3.4343, 4.6793 Å; angles 90.00, 90.00, 90.00 degrees
Last column: nearest neighbours and their distance in Å.
Space group P4/mmm (No. 123)
Unique sites:
Ho1 0.0000 0.0000 0.0000 [1 per cell]  8 Sc 3.37, 4 Ho 3.43
Sc1 0.5000 0.5000 0.5000 [1 per cell]  8 Ho 3.37, 4 Sc 3.43

Computed properties:
For the energy, the calculation gives -5.403 eV per atom. As for the excess energy over the best structure of this formula in the dataset: 0.022 eV/atom. Its energy relative to the elements is 10.0 kJ/mol of formula units.


The following is a PBE calculation of crystalline Ho5Sc at its relaxed geometry, from Alexandria.

Cell lengths 11.0011, 4.9212, 6.9623 Å; angles 90.00, 108.42, 90.00 degrees
Last column: nearest neighbours and their distance in Å.
Space group C2/m (No. 12)
Unique sites:
Ho1 0.0000 0.0000 0.0000 [2 per cell]  10 Ho 3.47-3.51, 2 Sc 3.48
Ho2 0.1641 0.5000 0.8302 [4 per cell]  10 Ho 3.46-3.52, 2 Sc 3.46
Ho3 0.1673 0.5000 0.3352 [4 per cell]  9 Ho 3.46-3.51, 3 Sc 3.47-3.48
Sc1 0.0000 0.0000 0.5000 [2 per cell]  12 Ho 3.46-3.48

Computed properties:
For the energy, the calculation gives -4.834 eV per atom. Its energy relative to the elements is 20.8 kJ/mol of formula units.


The following is a PBE calculation of crystalline Ho2Sc3Se6 at its relaxed geometry, from Alexandria.

Cell lengths 6.7995, 11.7258, 6.8573 Å; angles 90.00, 109.30, 90.00 degrees
Last column: nearest neighbours and their distance in Å.
Space group C2/m (No. 12)
Unique sites:
Ho1 0.0000 0.1654 0.0000 [4 per cell]  6 Se 2.82-2.84
Sc1 0.0000 0.0000 0.5000 [2 per cell]  6 Se 2.73-2.80
Sc2 0.0000 0.3335 0.5000 [4 per cell]  6 Se 2.73-2.78
Se1 0.2398 0.5000 0.7430 [4 per cell]  3 Sc 2.73-2.80, 2 Ho 2.82
Se2 0.2502 0.1636 0.7408 [8 per cell]  3 Sc 2.73-2.78, 2 Ho 2.84

Computed properties:
For the energy, the calculation gives -6.222 eV per atom. The uncorrected formation energy comes out at -1.762 eV per atom.


The following is a PBE calculation of crystalline Ho3Sc2Se6 at its relaxed geometry, from Alexandria.

Cell lengths 3.9686, 3.9686, 59.9431 Å; angles 90.00, 90.00, 120.00 degrees
Last column: nearest neighbours and their distance in Å.
Space group R-3m (No. 166, hexagonal axes)
Unique sites:
Ho1 0.0000 0.0000 0.0000 [3 per cell]  6 Se 2.85
Ho2 0.0000 0.0000 0.2771 [6 per cell]  6 Se 2.83-2.89
Sc1 0.0000 0.0000 0.4480 [6 per cell]  6 Se 2.64-2.88
Se1 0.0000 0.0000 0.0855 [6 per cell]  3 Sc 2.88, 3 Ho 2.89
Se2 0.0000 0.0000 0.1969 [6 per cell]  3 Sc 2.64
Se3 0.0000 0.0000 0.3617 [6 per cell]  6 Ho 2.83-2.85

Computed properties:
For the energy, the calculation gives -5.984 eV per atom. The uncorrected formation energy comes out at -1.684 eV per atom.


The following is a PBE calculation of crystalline HoSc2Se4 at its relaxed geometry, from Alexandria.

Cell lengths 3.8498, 12.7571, 13.3456 Å; angles 90.00, 90.00, 90.00 degrees
Last column: nearest neighbours and their distance in Å.
Space group Cmcm (No. 63)
Unique sites:
Ho1 0.0000 0.1247 0.2500 [4 per cell]  6 Se 2.85-2.91
Sc1 0.0000 0.3720 0.0656 [8 per cell]  6 Se 2.67-2.77
Se1 0.0000 0.0000 0.0000 [4 per cell]  4 Sc 2.67
Se2 0.0000 0.2739 0.6185 [8 per cell]  3 Sc 2.76-2.77, 2 Ho 2.91
Se3 0.0000 0.4601 0.2500 [4 per cell]  2 Sc 2.70, 2 Ho 2.85

Computed properties:
For the energy, the calculation gives -6.190 eV per atom. The uncorrected formation energy comes out at -1.735 eV per atom.


The following is a PBE calculation of crystalline Ho2ScSe at its relaxed geometry, from Alexandria.

Cell lengths 3.5565, 3.5565, 8.0570 Å; angles 90.00, 90.00, 90.00 degrees
Last column: nearest neighbours and their distance in Å.
Space group P4/mmm (No. 123)
Unique sites:
Ho1 0.0000 0.0000 0.2193 [2 per cell]  4 Se 3.07, 4 Sc 3.38
Sc1 0.5000 0.5000 0.5000 [1 per cell]  8 Ho 3.38, 4 Sc 3.56
Se1 0.5000 0.5000 0.0000 [1 per cell]  8 Ho 3.07

Computed properties:
For the energy, the calculation gives -5.398 eV per atom. The uncorrected formation energy comes out at -0.656 eV per atom. As for the excess energy over the best structure of this formula in the dataset: 0.103 eV/atom.


The following is a PBE calculation of crystalline HoSc2Se3 at its relaxed geometry, from Alexandria.

Cell lengths 3.9526, 5.5678, 11.7907 Å; angles 90.00, 90.00, 90.00 degrees
Last column: nearest neighbours and their distance in Å.
Space group Immm (No. 71)
Unique sites:
Ho1 0.0000 0.0000 0.0000 [2 per cell]  6 Se 2.78-2.86
Sc1 0.0000 0.0000 0.3429 [4 per cell]  6 Se 2.71-2.79
Se1 0.0000 0.5000 0.0000 [2 per cell]  4 Sc 2.71, 2 Ho 2.78
Se2 0.0000 0.5000 0.3241 [4 per cell]  4 Sc 2.79, 2 Ho 2.86

Computed properties:
For the energy, the calculation gives -6.243 eV per atom. The uncorrected formation energy comes out at -1.627 eV per atom.


Q: Among the records above, which one has the lowest energy?
A: HoSc2Se3


Q: Which value of energy does entry 12 give?
A: -6.243 eV per atom


Q: energy of number 2 (HoSc)?
A: -5.424 eV per atom